# 1
VASP calculation (PBE) on K4Pt2Pb3 after structural relaxation.

Symmetry   C2/m
Magnetic moment   0.000 Bohr magnetons per cell
Density of states at the Fermi level   5.12 states/eV/cell
ΔH_f (0 K)   -167 kJ/mol of formula units

Unit cell a=4.312 b=8.657 c=9.160 alpha=111.13 beta=103.61 gamma=90.00
Sites, in units of the cell vectors:
K1 0.226 0.649 0.451
K2 0.774 0.351 0.549
K3 0.602 0.884 0.204
K4 0.398 0.116 0.796
Pt1 0.425 0.602 0.850
Pt2 0.575 0.398 0.150
Pb1 0.088 0.201 0.176
Pb2 0.912 0.799 0.824
Pb3 0.000 0.500 0.000


# 2
VASP calculation (PBE) on KPt2Pb2 after structural relaxation.

Symmetry   I4/mmm
E above lowest polymorph   6.0 kJ per mole of atoms
Magnetic moment   0.000 Bohr magnetons per cell
Density of states at the Fermi level   1.51 states/eV/cell
ΔH_f (0 K)   -98 kJ/mol of formula units

Unit cell a=5.020 b=5.020 c=6.637 alpha=67.78 beta=67.78 gamma=90.00
Sites, in units of the cell vectors:
Pb1 0.352 0.352 0.296
Pb2 0.648 0.648 0.704
K1 0.000 0.000 0.000
Pt1 0.750 0.250 0.500
Pt2 0.250 0.750 0.500


# 3
VASP calculation (PBE) on KPt2Pb after structural relaxation.

Symmetry   R-3m
Magnetic moment   0.000 Bohr magnetons per cell
Density of states at the Fermi level   1.46 states/eV/cell
ΔH_f (0 K)   97 kJ/mol of formula units

Unit cell a=10.679 b=10.679 c=10.679 alpha=16.48 beta=16.48 gamma=16.48
Sites, in units of the cell vectors:
K1 0.250 0.250 0.250
Pb1 0.750 0.750 0.750
Pt1 0.002 0.002 0.002
Pt2 0.498 0.498 0.498


# 4
VASP calculation (PBE) on KPt2Pb after structural relaxation.

Symmetry   C2/m
Magnetic moment   0.000 Bohr magnetons per cell
Density of states at the Fermi level   2.11 states/eV/cell
ΔH_f (0 K)   53 kJ/mol of formula units

Unit cell a=4.804 b=4.804 c=7.211 alpha=82.44 beta=82.44 gamma=38.34
Sites, in units of the cell vectors:
K1 0.750 0.750 0.750
Pb1 0.250 0.250 0.250
Pt1 0.989 0.989 0.083
Pt2 0.511 0.511 0.417


# 5
VASP calculation (PBE) on KPt2Pb after structural relaxation.

Symmetry   P4/mmm
Magnetic moment   0.000 Bohr magnetons per cell
Density of states at the Fermi level   1.20 states/eV/cell
ΔH_f (0 K)   70 kJ/mol of formula units

Unit cell a=4.490 b=4.493 c=4.230 alpha=90.00 beta=90.00 gamma=90.00
Sites, in units of the cell vectors:
K1 0.500 0.000 0.500
Pb1 0.000 0.500 0.500
Pt1 0.000 0.000 0.000
Pt2 0.500 0.500 0.000


# 6
VASP calculation (PBE) on KPt2Pb after structural relaxation.

Symmetry   P4mm
Magnetic moment   0.000 Bohr magnetons per cell
Density of states at the Fermi level   1.99 states/eV/cell
ΔH_f (0 K)   8 kJ/mol of formula units

Unit cell a=3.377 b=3.377 c=8.402 alpha=90.00 beta=90.00 gamma=90.00
Sites, in units of the cell vectors:
K1 0.000 0.000 0.464
Pb1 0.500 0.500 0.824
Pt1 0.000 0.000 0.021
Pt2 0.500 0.500 0.190


# 7
VASP calculation (PBE) on KPt4Pb after structural relaxation.

Symmetry   F-43m
Magnetic moment   0.000 Bohr magnetons per cell
Density of states at the Fermi level   2.91 states/eV/cell
ΔH_f (0 K)   -120 kJ/mol of formula units

Unit cell a=5.503 b=5.503 c=5.503 alpha=60.00 beta=60.00 gamma=60.00
Sites, in units of the cell vectors:
K1 0.250 0.250 0.250
Pb1 0.000 0.000 0.000
Pt1 0.625 0.124 0.625
Pt2 0.124 0.625 0.625
Pt3 0.625 0.625 0.625
Pt4 0.625 0.625 0.124


# 8
VASP calculation (PBE) on K2Pt3Pb2 after structural relaxation.

Symmetry   C2/m
E above lowest polymorph   0.0 kJ per mole of atoms
Magnetic moment   0.000 Bohr magnetons per cell
Density of states at the Fermi level   3.09 states/eV/cell
ΔH_f (0 K)   -146 kJ/mol of formula units

Unit cell a=4.528 b=6.613 c=7.036 alpha=92.38 beta=108.77 gamma=90.00
Sites, in units of the cell vectors:
K1 0.141 0.400 0.281
K2 0.859 0.600 0.719
Pt1 0.000 0.000 0.000
Pt2 0.203 0.943 0.405
Pt3 0.797 0.057 0.595
Pb1 0.408 0.179 0.815
Pb2 0.592 0.821 0.185


# 9
VASP calculation (PBE) on KPt4Pb12 after structural relaxation.

Symmetry   Im-3
Magnetic moment   0.000 Bohr magnetons per cell
Density of states at the Fermi level   10.10 states/eV/cell
ΔH_f (0 K)   -174 kJ/mol of formula units

Unit cell a=8.625 b=8.625 c=8.625 alpha=109.47 beta=109.47 gamma=109.47
Sites, in units of the cell vectors:
K1 0.000 0.000 0.000
Pt1 0.000 0.500 0.000
Pt2 0.500 0.000 0.000
Pt3 0.500 0.500 0.500
Pt4 0.000 0.000 0.500
Pb1 0.839 0.341 0.180
Pb2 0.341 0.502 0.161
Pb3 0.820 0.161 0.659
Pb4 0.341 0.180 0.839
Pb5 0.180 0.839 0.341
Pb6 0.659 0.498 0.839
Pb7 0.502 0.161 0.341
Pb8 0.498 0.839 0.659
Pb9 0.659 0.820 0.161
Pb10 0.839 0.659 0.498
Pb11 0.161 0.341 0.502
Pb12 0.161 0.659 0.820


# 10
VASP calculation (PBE) on K2Pt3Pb2 after structural relaxation.

Symmetry   C2/m
E above lowest polymorph   1.4 kJ per mole of atoms
Magnetic moment   0.000 Bohr magnetons per cell
Density of states at the Fermi level   3.08 states/eV/cell
ΔH_f (0 K)   -136 kJ/mol of formula units

Unit cell a=4.634 b=6.543 c=7.563 alpha=122.39 beta=90.00 gamma=110.74
Sites, in units of the cell vectors:
K1 0.834 0.669 0.199
K2 0.166 0.331 0.801
Pt1 0.500 0.000 0.000
Pt2 0.569 0.139 0.416
Pt3 0.431 0.861 0.584
Pb1 0.854 0.708 0.718
Pb2 0.146 0.292 0.282


# 11
VASP calculation (PBE) on KPtPb2 after structural relaxation.

Symmetry   I-4m2
Magnetic moment   0.000 Bohr magnetons per cell
Density of states at the Fermi level   1.93 states/eV/cell
ΔH_f (0 K)   46 kJ/mol of formula units

Unit cell a=5.800 b=5.800 c=5.800 alpha=131.98 beta=131.98 gamma=70.26
Sites, in units of the cell vectors:
K1 0.750 0.250 0.500
Pb1 0.000 0.000 0.000
Pb2 0.250 0.750 0.500
Pt1 0.500 0.500 0.000


# 12
VASP calculation (PBE) on K3Pt2Pb4 after structural relaxation.

Symmetry   C2/m
Magnetic moment   0.000 Bohr magnetons per cell
Density of states at the Fermi level   3.88 states/eV/cell
ΔH_f (0 K)   -200 kJ/mol of formula units

Unit cell a=5.020 b=6.733 c=9.541 alpha=97.08 beta=90.00 gamma=111.89
Sites, in units of the cell vectors:
K1 0.593 0.185 0.697
K2 0.000 0.000 0.000
K3 0.407 0.815 0.303
Pt1 0.711 0.423 0.364
Pt2 0.289 0.577 0.636
Pb1 0.712 0.425 0.081
Pb2 0.288 0.575 0.919
Pb3 0.872 0.745 0.589
Pb4 0.128 0.255 0.411


Please write out number 9 again, unchanged.
VASP calculation (PBE) on KPt4Pb12 after structural relaxation.

Symmetry   Im-3
Magnetic moment   0.000 Bohr magnetons per cell
Density of states at the Fermi level   10.10 states/eV/cell
ΔH_f (0 K)   -174 kJ/mol of formula units

Unit cell a=8.625 b=8.625 c=8.625 alpha=109.47 beta=109.47 gamma=109.47
Sites, in units of the cell vectors:
K1 0.000 0.000 0.000
Pt1 0.000 0.500 0.000
Pt2 0.500 0.000 0.000
Pt3 0.500 0.500 0.500
Pt4 0.000 0.000 0.500
Pb1 0.839 0.341 0.180
Pb2 0.341 0.502 0.161
Pb3 0.820 0.161 0.659
Pb4 0.341 0.180 0.839
Pb5 0.180 0.839 0.341
Pb6 0.659 0.498 0.839
Pb7 0.502 0.161 0.341
Pb8 0.498 0.839 0.659
Pb9 0.659 0.820 0.161
Pb10 0.839 0.659 0.498
Pb11 0.161 0.341 0.502
Pb12 0.161 0.659 0.820